Pm8Nd6Th: optimized geometry, PBE. Values from VASP.

Quantum ESPRESSO input file:
```
&SYSTEM
  ibrav = 0, nat = 15, ntyp = 3
/
ATOMIC_SPECIES
Pm 145.00 Pm.upf
Nd 144.24 Nd.upf
Th 232.04 Th.upf
CELL_PARAMETERS angstrom
4.6458 2.6823 7.0342
-4.6458 2.6823 7.0342
0.0000 -5.3645 7.0342
ATOMIC_POSITIONS angstrom
Pm 0.0000 0.0000 1.6309
Pm -1.8493 0.8606 7.6251
Pm 0.1794 -2.0319 7.6251
Pm -1.6700 -1.1713 13.4775
Pm 1.6700 1.1713 7.6251
Pm -0.1794 2.0319 13.4776
Pm 1.8493 -0.8606 13.4776
Pm 0.0000 0.0000 19.4718
Nd -2.6053 -2.2335 9.6664
Nd -3.2369 1.1395 11.4363
Nd 0.6317 -3.3730 11.4363
Nd -0.6317 3.3730 9.6664
Nd 3.2369 -1.1395 9.6664
Nd 2.6053 2.2335 11.4362
Th 0.0000 0.0000 10.5513
```

Results
The spin magnetization is 0.0 μB/cell. The mass density is 7.1 g cm⁻³. For the density of states at the Fermi level, the calculation gives 23.78 states/eV/cell. As for the formation energy: 0.1145 eV per atom.